First-principles (SCAN) data for a crystal of Be2TeSe relaxed with PBEsol, as listed in Alexandria.

Summary:
Crystal system: orthorhombic
E above lowest polymorph (meV/atom): 826
Raw formation energy (eV/atom): 0.16

Lattice parameters (Å, degrees): 3.371 4.342 6.843 90.00 90.00 112.84
Atoms (fractional coordinates):
Be  0.000  0.000  0.725
Be  0.000  0.000  0.275
Te  0.500  0.000  0.000
Se  0.500  0.000  0.500

First-principles (SCAN) data for a crystal of Be2TeSe relaxed with PBEsol, as listed in Alexandria.

Summary:
Crystal system: tetragonal
E above lowest polymorph (meV/atom): 0
Raw formation energy (eV/atom): -0.67

Lattice parameters (Å, degrees): 5.375 5.375 6.577 114.12 114.12 90.00
Atoms (fractional coordinates):
Be  0.403  0.875  0.250
Be  0.847  0.375  0.250
Be  0.125  0.153  0.750
Be  0.625  0.597  0.750
Te  0.250  0.750  0.500
Te  0.000  0.000  0.000
Se  0.750  0.250  0.500
Se  0.500  0.500  0.000

First-principles (SCAN) data for a crystal of Be2TeSe relaxed with PBEsol, as listed in Alexandria.

Summary:
Crystal system: orthorhombic
E above lowest polymorph (meV/atom): 817
Raw formation energy (eV/atom): 0.15

Lattice parameters (Å, degrees): 3.339 5.452 5.452 78.78 72.17 72.17
Atoms (fractional coordinates):
Be  0.000  0.281  0.719
Be  0.000  0.719  0.281
Te  0.500  0.000  0.000
Se  0.500  0.500  0.500

First-principles (SCAN) data for a crystal of Be4TeSe relaxed with PBEsol, as listed in Alexandria.

Summary:
Crystal system: cubic
Raw formation energy (eV/atom): 0.66

Lattice parameters (Å, degrees): 4.882 4.882 4.882 60.00 60.00 60.00
Atoms (fractional coordinates):
Be  0.376  0.376  0.376
Be  0.376  0.376  0.873
Be  0.873  0.376  0.376
Be  0.376  0.873  0.376
Te  0.000  0.000  0.000
Se  0.750  0.750  0.750

First-principles (SCAN) data for a crystal of TiBeSe3 relaxed with PBEsol, as listed in Alexandria.

Summary:
Crystal system: cubic
Raw formation energy (eV/atom): 0.06

Lattice parameters (Å, degrees): 4.507 4.507 4.507 90.00 90.00 90.00
Atoms (fractional coordinates):
Be  0.000  0.000  0.000
Se  0.000  0.500  0.000
Se  0.000  0.000  0.500
Se  0.500  0.000  0.000
Ti  0.500  0.500  0.500

First-principles (SCAN) data for a crystal of Ti3BeSe relaxed with PBEsol, as listed in Alexandria.

Summary:
Crystal system: cubic
Raw formation energy (eV/atom): 0.16

Lattice parameters (Å, degrees): 4.304 4.304 4.304 90.00 90.00 90.00
Atoms (fractional coordinates):
Be  0.000  0.000  0.000
Se  0.500  0.500  0.500
Ti  0.000  0.500  0.000
Ti  0.000  0.000  0.500
Ti  0.500  0.000  0.000

In order of appearance, N(E_F) = 0.9, 0.0, 0.8, 2.4, 4.3, 4.6 states/eV per cell.